A | Below is an optimized crystal structure of CePrTm, with properties calculated at the GGA-PBE level.

The structure belongs to space group P3m1 (No. 156); the cell edges are 3.5438, 3.5438 and 8.7405 Å and the angles 90.00°, 90.00° and 120.00°. The asymmetric unit holds Ce at (0.0000, 0.0000, 0.0000), Pr at (0.6667, 0.3333, 0.3361) and Tm at (0.3333, 0.6667, 0.6795).

As for the spin magnetization: 0.6 Bohr magnetons per cell. As for the density of states at the Fermi level: 6.87 states/eV/f.u.

---

B | Below is an optimized crystal structure of CePrTm, with properties calculated at the GGA-PBE level.

The structure belongs to space group P2_13 (No. 198); the cell edges are 7.3703, 7.3703 and 7.3703 Å and the angles 90.00°, 90.00° and 90.00°. The asymmetric unit holds Ce at (0.2017, 0.2983, 0.7017), Pr at (0.0612, 0.5612, 0.9388) and Tm at (0.1066, 0.1066, 0.1066).

As for the spin magnetization: 0.2 Bohr magnetons per cell. As for the density of states at the Fermi level: 6.49 states/eV/f.u.

---

Most stable: A. Least stable: B.

---

A | Below is an optimized crystal structure of CePrTm3, with properties calculated at the GGA-PBE level.

The structure belongs to space group P-1 (No. 2); the cell edges are 6.1198, 6.1503 and 9.3493 Å and the angles 108.87°, 102.61° and 99.83°. The asymmetric unit holds Ce at (0.2405, 0.1914, 0.1439), Pr at (0.2460, 0.7984, 0.3463), Tm at (0.2534, 0.4033, 0.5502), Tm at (0.2528, 0.5986, 0.9491) and Tm at (0.2526, 0.9950, 0.7536).

As for the spin magnetization: 2.4 Bohr magnetons per cell. As for the density of states at the Fermi level: 10.47 states/eV/f.u.

---

B | Below is an optimized crystal structure of CePrTm3, with properties calculated at the GGA-PBE level.

The structure belongs to space group Pnma (No. 62); the cell edges are 9.9833, 3.5326 and 17.5703 Å and the angles 90.00°, 90.00° and 90.00°. The asymmetric unit holds Ce at (0.1182, 0.2500, 0.0482), Pr at (0.1250, 0.2500, 0.6484), Tm at (0.1217, 0.2500, 0.8511), Tm at (0.1274, 0.2500, 0.2495) and Tm at (0.1319, 0.2500, 0.4505).

As for the spin magnetization: 2.6 Bohr magnetons per cell. As for the density of states at the Fermi level: 8.57 states/eV/f.u.

---

Most stable: B. Least stable: A.

---

A | Below is an optimized crystal structure of CePr12Tm7, with properties calculated at the GGA-PBE level.

The structure belongs to space group R-3 (No. 148, hexagonal axes); the cell edges are 19.6117, 19.6117 and 6.2417 Å and the angles 90.00°, 90.00° and 120.00°. The asymmetric unit holds Ce at (0.0000, 0.0000, 0.0000), Pr at (0.0002, 0.4119, 0.5005), Pr at (0.0980, 0.5493, 0.9778), Tm at (0.0000, 0.0000, 0.5000) and Tm at (0.0800, 0.9193, 0.8032).

As for the spin magnetization: 1.6 Bohr magnetons per cell. As for the density of states at the Fermi level: 32.63 states/eV/f.u.

---

B | Below is an optimized crystal structure of CePr12Tm7, with properties calculated at the GGA-PBE level.

The structure belongs to space group R-3 (No. 148, hexagonal axes); the cell edges are 15.4318, 15.4318 and 10.0189 Å and the angles 90.00°, 90.00° and 120.00°. The asymmetric unit holds Ce at (0.0000, 0.0000, 0.0000), Pr at (0.0152, 0.2479, 0.4095), Pr at (0.0760, 0.5904, 0.6205), Tm at (0.0000, 0.0000, 0.5000) and Tm at (0.0042, 0.8615, 0.2656).

As for the spin magnetization: 1.1 Bohr magnetons per cell. As for the density of states at the Fermi level: 32.84 states/eV/f.u.

---

Most stable: B. Least stable: A.

---

A | Below is an optimized crystal structure of CePrY2, with properties calculated at the GGA-PBE level.

The structure belongs to space group R3m (No. 160, hexagonal axes); the cell edges are 3.5916, 3.5916 and 34.9565 Å and the angles 90.00°, 90.00° and 120.00°. The asymmetric unit holds Ce at (0.0000, 0.0000, 0.0000), Pr at (0.0000, 0.0000, 0.1660), Y at (0.0000, 0.0000, 0.4138) and Y at (0.0000, 0.0000, 0.5861).

As for the spin magnetization: 2.0 Bohr magnetons per cell. As for the density of states at the Fermi level: 8.34 states/eV/f.u.

---

B | Below is an optimized crystal structure of CePrY2, with properties calculated at the GGA-PBE level.

The structure belongs to space group P4/mmm (No. 123); the cell edges are 3.5902, 3.5902 and 10.1221 Å and the angles 90.00°, 90.00° and 90.00°. The asymmetric unit holds Ce at (0.0000, 0.0000, 0.0000), Pr at (0.0000, 0.0000, 0.5000) and Y at (0.5000, 0.5000, 0.2394).

As for the spin magnetization: 0.7 Bohr magnetons per cell. As for the density of states at the Fermi level: 8.12 states/eV/f.u.

---

Most stable: A. Least stable: B.

---

A | Below is an optimized crystal structure of CePrY2, with properties calculated at the GGA-PBE level.

The structure belongs to space group P4/mmm (No. 123); the cell edges are 5.1055, 5.1055 and 5.0414 Å and the angles 90.00°, 90.00° and 90.00°. The asymmetric unit holds Ce at (0.0000, 0.0000, 0.0000), Pr at (0.5000, 0.5000, 0.0000) and Y at (0.0000, 0.5000, 0.5000).

As for the spin magnetization: 0.8 Bohr magnetons per cell. As for the density of states at the Fermi level: 8.16 states/eV/f.u.

---

B | Below is an optimized crystal structure of CePrY2, with properties calculated at the GGA-PBE level.

The structure belongs to space group Fm-3m (No. 225); the cell edges are 8.1188, 8.1188 and 8.1188 Å and the angles 90.00°, 90.00° and 90.00°. The asymmetric unit holds Ce at (0.0000, 0.0000, 0.0000), Pr at (0.0000, 0.0000, 0.5000) and Y at (0.2500, 0.2500, 0.2500).

As for the spin magnetization: 3.3 Bohr magnetons per cell. As for the density of states at the Fermi level: 10.44 states/eV/f.u.

---

C | Below is an optimized crystal structure of CePrY2, with properties calculated at the GGA-PBE level.

The structure belongs to space group R-3m (No. 166, hexagonal axes); the cell edges are 3.5878, 3.5878 and 34.9796 Å and the angles 90.00°, 90.00° and 120.00°. The asymmetric unit holds Ce at (0.0000, 0.0000, 0.0000), Pr at (0.0000, 0.0000, 0.5000) and Y at (0.0000, 0.0000, 0.2521).

As for the spin magnetization: 2.4 Bohr magnetons per cell. As for the density of states at the Fermi level: 7.76 states/eV/f.u.

---

Most stable: C. Least stable: B.

---

A | Below is an optimized crystal structure of CePrY6, with properties calculated at the GGA-PBE level.

The structure belongs to space group P4/mmm (No. 123); the cell edges are 5.0757, 5.0757 and 10.1452 Å and the angles 90.00°, 90.00° and 90.00°. The asymmetric unit holds Ce at (0.0000, 0.0000, 0.0000), Pr at (0.0000, 0.0000, 0.5000), Y at (0.0000, 0.5000, 0.2460), Y at (0.5000, 0.5000, 0.0000) and Y at (0.5000, 0.5000, 0.5000).

As for the spin magnetization: 0.9 Bohr magnetons per cell. As for the density of states at the Fermi level: 13.71 states/eV/f.u.

---

B | Below is an optimized crystal structure of CePrY6, with properties calculated at the GGA-PBE level.

The structure belongs to space group P-1 (No. 2); the cell edges are 6.5714, 6.6620 and 7.5347 Å and the angles 114.99°, 115.68° and 90.18°. The asymmetric unit holds Ce at (0.0000, 0.0000, 0.0000), Pr at (0.5000, 0.0000, 0.0000), Y at (0.2313, 0.9174, 0.4632), Y at (0.2484, 0.5002, 0.0007) and Y at (0.2594, 0.4433, 0.5191).

As for the spin magnetization: 1.6 Bohr magnetons per cell. As for the density of states at the Fermi level: 16.74 states/eV/f.u.

---

Most stable: A. Least stable: B.

---

A | Below is an optimized crystal structure of CePrZn4, with properties calculated at the GGA-PBE level.

The structure belongs to space group F-43m (No. 216); the cell edges are 7.8545, 7.8545 and 7.8545 Å and the angles 90.00°, 90.00° and 90.00°. The asymmetric unit holds Ce at (0.0000, 0.0000, 0.0000), Pr at (0.2500, 0.2500, 0.7500) and Zn at (0.1247, 0.1247, 0.3753).

As for the spin magnetization: 1.5 Bohr magnetons per cell. As for the density of states at the Fermi level: 4.95 states/eV/f.u.

---

B | Below is an optimized crystal structure of CePrZn4, with properties calculated at the GGA-PBE level.

The structure belongs to space group I-4m2 (No. 119); the cell edges are 4.2140, 4.2140 and 15.3915 Å and the angles 90.00°, 90.00° and 90.00°. The asymmetric unit holds Ce at (0.0000, 0.0000, 0.0000), Pr at (0.0000, 0.5000, 0.7500), Zn at (0.0000, 0.0000, 0.4181) and Zn at (0.0000, 0.5000, 0.1672).

As for the spin magnetization: 4.3 Bohr magnetons per cell. As for the density of states at the Fermi level: 10.97 states/eV/f.u.

---

Most stable: A. Least stable: B.

---

A | Below is an optimized crystal structure of CePrZr2, with properties calculated at the GGA-PBE level.

The structure belongs to space group P4/mmm (No. 123); the cell edges are 3.9303, 3.9303 and 7.1176 Å and the angles 90.00°, 90.00° and 90.00°. The asymmetric unit holds Ce at (0.0000, 0.0000, 0.0000), Pr at (0.0000, 0.0000, 0.5000) and Zr at (0.5000, 0.5000, 0.2087).

As for the spin magnetization: 0.0 Bohr magnetons per cell. As for the density of states at the Fermi level: 6.20 states/eV/f.u.

---

B | Below is an optimized crystal structure of CePrZr2, with properties calculated at the GGA-PBE level.

The structure belongs to space group P4/mmm (No. 123); the cell edges are 4.6582, 4.6582 and 4.9967 Å and the angles 90.00°, 90.00° and 90.00°. The asymmetric unit holds Ce at (0.0000, 0.0000, 0.0000), Pr at (0.5000, 0.5000, 0.0000) and Zr at (0.0000, 0.5000, 0.5000).

As for the spin magnetization: 0.0 Bohr magnetons per cell. As for the density of states at the Fermi level: 6.83 states/eV/f.u.

---

C | Below is an optimized crystal structure of CePrZr2, with properties calculated at the GGA-PBE level.

The structure belongs to space group R-3m (No. 166, hexagonal axes); the cell edges are 3.3068, 3.3068 and 34.9550 Å and the angles 90.00°, 90.00° and 120.00°. The asymmetric unit holds Ce at (0.0000, 0.0000, 0.0000), Pr at (0.0000, 0.0000, 0.5000) and Zr at (0.0000, 0.0000, 0.4086).

As for the spin magnetization: 0.0 Bohr magnetons per cell. As for the density of states at the Fermi level: 8.36 states/eV/f.u.

---

Most stable: A. Least stable: C.

---

A | Below is an optimized crystal structure of Ce2Pt3, with properties calculated at the GGA-PBE level.

The structure belongs to space group I-43d (No. 220); the cell edges are 9.7997, 9.7997 and 9.7997 Å and the angles 90.00°, 90.00° and 90.00°. The asymmetric unit holds Ce at (0.0368, 0.4632, 0.5368) and Pt at (0.0000, 0.2500, 0.0123).

As for the spin magnetization: 6.3 Bohr magnetons per cell. As for the density of states at the Fermi level: 8.33 states/eV/f.u.

---

B | Below is an optimized crystal structure of Ce2Pt3, with properties calculated at the GGA-PBE level.

The structure belongs to space group Immm (No. 71); the cell edges are 4.0932, 6.7741 and 7.8513 Å and the angles 90.00°, 90.00° and 90.00°. The asymmetric unit holds Ce at (0.0000, 0.0000, 0.2264), Pt at (0.0000, 0.2984, 0.5000) and Pt at (0.0000, 0.5000, 0.0000).

As for the spin magnetization: 1.8 Bohr magnetons per cell. As for the density of states at the Fermi level: 7.80 states/eV/f.u.

---

Most stable: B. Least stable: A.

---

A | Below is an optimized crystal structure of Ce6PuPt, with properties calculated at the GGA-PBE level.

The structure belongs to space group C2/m (No. 12); the cell edges are 6.8020, 10.4737 and 6.6625 Å and the angles 90.00°, 104.79° and 90.00°. The asymmetric unit holds Ce at (0.2023, 0.1627, 0.2348), Ce at (0.2471, 0.5000, 0.2058), Pu at (0.0000, 0.0000, 0.0000) and Pt at (0.0000, 0.5000, 0.5000).

As for the spin magnetization: 0.0 Bohr magnetons per cell. As for the density of states at the Fermi level: 14.96 states/eV/f.u.

---

B | Below is an optimized crystal structure of Ce6PuPt, with properties calculated at the GGA-PBE level.

The structure belongs to space group C2/c (No. 15); the cell edges are 9.8420, 7.7756 and 11.1489 Å and the angles 90.00°, 95.38° and 90.00°. The asymmetric unit holds Ce at (0.0290, 0.1367, 0.4082), Ce at (0.1597, 0.4525, 0.9819), Ce at (0.1770, 0.2267, 0.7060), Pu at (0.2500, 0.2500, 0.5000) and Pt at (0.0000, 0.4553, 0.2500).

As for the spin magnetization: 0.0 Bohr magnetons per cell. As for the density of states at the Fermi level: 16.92 states/eV/f.u.

---

Most stable: B. Least stable: A.